Record 1
Compound: SmBiAu2
Source: the Open Quantum Materials Database
Functional: PBE
Structure: optimized geometry

CIF file:
```
data_SmBiAu2
_cell_length_a 4.566
_cell_length_b 3.916
_cell_length_c 11.213
_cell_angle_alpha 90.00
_cell_angle_beta 90.00
_cell_angle_gamma 90.00
_symmetry_space_group_name_H-M 'A m m 2'
_symmetry_Int_Tables_number 38
_symmetry_space_group_name_Hall 'A 2 -2'
loop_
_atom_site_label
_atom_site_fract_x
_atom_site_fract_y
_atom_site_fract_z
Sm1 0.000 0.000 0.000
Bi1 0.500 0.000 0.707
Au1 0.000 0.000 0.280
Au2 0.500 0.000 0.437
```

Total DFT energy (no corrections) (eV/atom): -4.337


Record 2
Compound: DyMgTe3Au
Source: the Open Quantum Materials Database
Functional: PBE
Structure: optimized geometry

CIF file:
```
data_DyMgTe3Au
_cell_length_a 4.196
_cell_length_b 15.079
_cell_length_c 11.168
_cell_angle_alpha 90.00
_cell_angle_beta 90.00
_cell_angle_gamma 90.00
_symmetry_space_group_name_H-M 'C m c m'
_symmetry_Int_Tables_number 63
_symmetry_space_group_name_Hall '-C 2c 2'
loop_
_atom_site_label
_atom_site_fract_x
_atom_site_fract_y
_atom_site_fract_z
Dy1 0.000 0.000 0.000
Mg1 0.000 0.149 0.250
Te1 0.000 0.098 0.750
Te2 0.000 0.351 0.560
Au1 0.000 0.479 0.750
```

Total DFT energy (no corrections) (eV/atom): -3.946